Here is a relaxed structure of Sr2GaMoF from Alexandria via LeMat-Bulk. Energies are from PBE+U.

Unit cell a=5.0514 b=5.0514 c=5.2703 alpha=90.00 beta=90.00 gamma=90.00
Space group P4/mmm (No. 123)
Inequivalent atoms, fractional coordinates:
Sr: 0.0000 0.5000 0.0000 x2
Ga: 0.0000 0.0000 0.5000 x1
Mo: 0.5000 0.5000 0.5000 x1
F: 0.5000 0.5000 0.0000 x1

Results
Calculated total energy = -3.685 eV/atom
DOS at the Fermi energy = 2.4 states/eV/cell
M_tot = 4.3 μB/cell